# LaThAlAu, optimized geometry, DFT PBE
# Crystal system: cubic
# Formation energy: -382 meV/atom
# Space group: No. 216
data_LaThAlAu
_chemical_formula_sum 'La1 Th1 Al1 Au1'
_space_group_name_H-M_alt 'P 1'
_space_group_IT_number 1
_cell_length_a 5.331
_cell_length_b 5.331
_cell_length_c 5.331
_cell_angle_alpha 60.00
_cell_angle_beta 60.00
_cell_angle_gamma 60.00
loop_
_space_group_symop_operation_xyz
'x,y,z'
loop_
_atom_site_label
_atom_site_type_symbol
_atom_site_fract_x
_atom_site_fract_y
_atom_site_fract_z
_atom_site_occupancy
La1 La 0.750 0.750 0.750 1
Th1 Th 0.250 0.250 0.250 1
Al1 Al 0.000 0.000 0.000 1
Au1 Au 0.500 0.500 0.500 1


# K4Sn3Cl10, optimized geometry, DFT PBE
# Crystal system: tetragonal
# Raw formation energy: -1.422 eV/atom
# Space group: No. 139
data_K4Sn3Cl10
_chemical_formula_sum 'K4 Sn3 Cl10'
_space_group_name_H-M_alt 'P 1'
_space_group_IT_number 1
_cell_length_a 5.602
_cell_length_b 5.602
_cell_length_c 19.582
_cell_angle_alpha 98.22
_cell_angle_beta 98.22
_cell_angle_gamma 90.00
loop_
_space_group_symop_operation_xyz
'x,y,z'
loop_
_atom_site_label
_atom_site_type_symbol
_atom_site_fract_x
_atom_site_fract_y
_atom_site_fract_z
_atom_site_occupancy
Sn1 Sn 0.849 0.849 0.699 1
Cl1 Cl 0.072 0.072 0.145 1
Cl2 Cl 0.349 0.849 0.698 1
Sn2 Sn 0.000 0.000 0.000 1
Cl3 Cl 0.651 0.151 0.302 1
Cl4 Cl 0.500 0.000 0.000 1
K1 K 0.700 0.700 0.400 1
Cl5 Cl 0.000 0.500 0.000 1
K2 K 0.564 0.564 0.128 1
Cl6 Cl 0.220 0.220 0.440 1
Cl7 Cl 0.151 0.651 0.302 1
Cl8 Cl 0.849 0.349 0.698 1
K3 K 0.300 0.300 0.600 1
K4 K 0.436 0.436 0.872 1
Sn3 Sn 0.151 0.151 0.301 1
Cl9 Cl 0.780 0.780 0.560 1
Cl10 Cl 0.928 0.928 0.855 1


# LaSO5, optimized geometry, DFT PBE
# Crystal system: triclinic
# Raw formation energy: -1.962 eV/atom
# Energy relative to the lowest polymorph listed for this composition: 60.7 meV/atom
# Space group: No. 1
data_LaSO5
_chemical_formula_sum 'La1 S1 O5'
_space_group_name_H-M_alt 'P 1'
_space_group_IT_number 1
_cell_length_a 4.980
_cell_length_b 6.803
_cell_length_c 5.827
_cell_angle_alpha 45.71
_cell_angle_beta 50.68
_cell_angle_gamma 55.92
loop_
_space_group_symop_operation_xyz
'x,y,z'
loop_
_atom_site_label
_atom_site_type_symbol
_atom_site_fract_x
_atom_site_fract_y
_atom_site_fract_z
_atom_site_occupancy
S1 S 0.538 0.360 0.519 1
O1 O 0.791 0.174 0.379 1
O2 O 0.411 0.820 0.705 1
O3 O 0.554 0.238 0.842 1
O4 O 0.167 0.389 0.602 1
O5 O 0.612 0.648 0.251 1
La1 La 0.928 0.902 0.171 1


# ZrGeBiRu2, optimized geometry, DFT PBE
# Crystal system: tetragonal
# Formation energy: 1629 meV/atom
# Energy relative to the lowest polymorph listed for this composition: 1106.2 meV/atom
# Space group: No. 123
data_ZrGeBiRu2
_chemical_formula_sum 'Zr1 Ge1 Bi1 Ru2'
_space_group_name_H-M_alt 'P 1'
_space_group_IT_number 1
_cell_length_a 4.939
_cell_length_b 5.415
_cell_length_c 4.939
_cell_angle_alpha 90.00
_cell_angle_beta 90.00
_cell_angle_gamma 90.00
loop_
_space_group_symop_operation_xyz
'x,y,z'
loop_
_atom_site_label
_atom_site_type_symbol
_atom_site_fract_x
_atom_site_fract_y
_atom_site_fract_z
_atom_site_occupancy
Zr1 Zr 0.000 0.500 0.000 1
Ru1 Ru 0.500 0.000 0.000 1
Ru2 Ru 0.000 0.000 0.500 1
Bi1 Bi 0.000 0.000 0.000 1
Ge1 Ge 0.500 0.500 0.500 1


# TaMo3W, optimized geometry, DFT PBE
# Crystal system: orthorhombic
# Formation energy: 443 meV/atom
# Energy relative to the lowest polymorph listed for this composition: 77.9 meV/atom
# Space group: No. 62
data_TaMo3W
_chemical_formula_sum 'Ta4 Mo12 W4'
_space_group_name_H-M_alt 'P 1'
_space_group_IT_number 1
_cell_length_a 5.274
_cell_length_b 7.637
_cell_length_c 8.621
_cell_angle_alpha 90.00
_cell_angle_beta 90.00
_cell_angle_gamma 90.00
loop_
_space_group_symop_operation_xyz
'x,y,z'
loop_
_atom_site_label
_atom_site_type_symbol
_atom_site_fract_x
_atom_site_fract_y
_atom_site_fract_z
_atom_site_occupancy
Ta1 Ta 0.219 0.161 0.250 1
Ta2 Ta 0.781 0.839 0.750 1
W1 W 0.000 0.500 0.500 1
Ta3 Ta 0.719 0.339 0.250 1
W2 W 0.000 0.500 0.000 1
W3 W 0.500 0.000 0.000 1
W4 W 0.500 0.000 0.500 1
Mo1 Mo 0.566 0.661 0.448 1
Mo2 Mo 0.934 0.161 0.552 1
Ta4 Ta 0.281 0.661 0.750 1
Mo3 Mo 0.434 0.339 0.552 1
Mo4 Mo 0.745 0.454 0.750 1
Mo5 Mo 0.566 0.661 0.052 1
Mo6 Mo 0.934 0.161 0.948 1
Mo7 Mo 0.434 0.339 0.948 1
Mo8 Mo 0.066 0.839 0.052 1
Mo9 Mo 0.255 0.546 0.250 1
Mo10 Mo 0.755 0.954 0.250 1
Mo11 Mo 0.245 0.046 0.750 1
Mo12 Mo 0.066 0.839 0.448 1


# Al2ReAs, optimized geometry, DFT PBE
# Crystal system: monoclinic
# Formation energy: 280 meV/atom
# Energy relative to the lowest polymorph listed for this composition: 346.4 meV/atom
# Space group: No. 12
data_Al2ReAs
_chemical_formula_sum 'Al2 Re1 As1'
_space_group_name_H-M_alt 'P 1'
_space_group_IT_number 1
_cell_length_a 5.582
_cell_length_b 5.162
_cell_length_c 2.765
_cell_angle_alpha 77.00
_cell_angle_beta 85.44
_cell_angle_gamma 121.30
loop_
_space_group_symop_operation_xyz
'x,y,z'
loop_
_atom_site_label
_atom_site_type_symbol
_atom_site_fract_x
_atom_site_fract_y
_atom_site_fract_z
_atom_site_occupancy
Al1 Al 0.000 0.000 0.000 1
As1 As 0.000 0.500 0.500 1
Re1 Re 0.500 0.500 0.000 1
Al2 Al 0.500 0.000 0.500 1


# Pa3Al, optimized geometry, DFT PBE
# Crystal system: cubic
# Formation energy: 87 meV/atom
# Energy relative to the lowest polymorph listed for this composition: 200.8 meV/atom
# Space group: No. 225
data_Pa3Al
_chemical_formula_sum 'Pa3 Al1'
_space_group_name_H-M_alt 'P 1'
_space_group_IT_number 1
_cell_length_a 5.068
_cell_length_b 5.068
_cell_length_c 5.068
_cell_angle_alpha 60.00
_cell_angle_beta 60.00
_cell_angle_gamma 60.00
loop_
_space_group_symop_operation_xyz
'x,y,z'
loop_
_atom_site_label
_atom_site_type_symbol
_atom_site_fract_x
_atom_site_fract_y
_atom_site_fract_z
_atom_site_occupancy
Al1 Al 0.500 0.500 0.500 1
Pa1 Pa 0.750 0.750 0.750 1
Pa2 Pa 0.000 0.000 0.000 1
Pa3 Pa 0.250 0.250 0.250 1


# Li6Tl2Ge, optimized geometry, DFT PBE
# Crystal system: monoclinic
# Formation energy: -265 meV/atom
# Energy relative to the lowest polymorph listed for this composition: 0.0 meV/atom
# Space group: No. 12
data_Li6Tl2Ge
_chemical_formula_sum 'Li6 Tl2 Ge1'
_space_group_name_H-M_alt 'P 1'
_space_group_IT_number 1
_cell_length_a 4.673
_cell_length_b 4.673
_cell_length_c 8.584
_cell_angle_alpha 89.91
_cell_angle_beta 89.91
_cell_angle_gamma 60.06
loop_
_space_group_symop_operation_xyz
'x,y,z'
loop_
_atom_site_label
_atom_site_type_symbol
_atom_site_fract_x
_atom_site_fract_y
_atom_site_fract_z
_atom_site_occupancy
Li1 Li 0.333 0.333 0.288 1
Li2 Li 0.000 0.000 0.813 1
Li3 Li 0.333 0.333 0.589 1
Li4 Li 0.667 0.667 0.712 1
Tl1 Tl 0.667 0.667 0.085 1
Ge1 Ge 0.000 0.000 0.500 1
Tl2 Tl 0.333 0.333 0.915 1
Li5 Li 0.000 0.000 0.187 1
Li6 Li 0.667 0.667 0.411 1


# Ce3NpPt8, optimized geometry, DFT PBE
# Crystal system: trigonal
# Formation energy: -928 meV/atom
# Space group: No. 160
data_Ce3NpPt8
_chemical_formula_sum 'Ce3 Np1 Pt8'
_space_group_name_H-M_alt 'P 1'
_space_group_IT_number 1
_cell_length_a 5.480
_cell_length_b 5.480
_cell_length_c 9.493
_cell_angle_alpha 73.22
_cell_angle_beta 73.22
_cell_angle_gamma 60.00
loop_
_space_group_symop_operation_xyz
'x,y,z'
loop_
_atom_site_label
_atom_site_type_symbol
_atom_site_fract_x
_atom_site_fract_y
_atom_site_fract_z
_atom_site_occupancy
Pt1 Pt 0.437 0.938 0.687 1
Pt2 Pt 0.688 0.688 0.937 1
Ce1 Ce 0.996 0.996 0.011 1
Pt3 Pt 0.437 0.437 0.187 1
Pt4 Pt 0.188 0.188 0.437 1
Pt5 Pt 0.938 0.437 0.187 1
Np1 Np 0.873 0.873 0.381 1
Pt6 Pt 0.938 0.938 0.687 1
Pt7 Pt 0.437 0.938 0.187 1
Ce2 Ce 0.503 0.503 0.490 1
Pt8 Pt 0.938 0.437 0.687 1
Ce3 Ce 0.377 0.377 0.870 1


# ZnMo, optimized geometry, DFT PBE
# Crystal system: tetragonal
# Formation energy: 159 meV/atom
# Energy relative to the lowest polymorph listed for this composition: 97.4 meV/atom
# Space group: No. 141
data_ZnMo
_chemical_formula_sum 'Zn2 Mo2'
_space_group_name_H-M_alt 'P 1'
_space_group_IT_number 1
_cell_length_a 3.877
_cell_length_b 4.830
_cell_length_c 3.877
_cell_angle_alpha 66.34
_cell_angle_beta 90.00
_cell_angle_gamma 113.66
loop_
_space_group_symop_operation_xyz
'x,y,z'
loop_
_atom_site_label
_atom_site_type_symbol
_atom_site_fract_x
_atom_site_fract_y
_atom_site_fract_z
_atom_site_occupancy
Mo1 Mo 0.750 0.500 0.750 1
Zn1 Zn 0.500 0.000 0.500 1
Mo2 Mo 0.000 0.000 0.000 1
Zn2 Zn 0.250 0.500 0.250 1